Zn3BiAs: optimized geometry, GGA-PBE.

a = 5.3440 Å, b = 5.3440 Å, c = 5.3440 Å
α = 90.00°, β = 90.00°, γ = 90.00°
Each line ends with the local moment (μB).
Sites, in units of the cell vectors:
Zn (0.5000, 0.0000, 0.0000)  0.01
Zn (0.0000, 0.5000, 0.0000)  0.00
Zn (0.0000, 0.0000, 0.5000)  0.00
As (0.5000, 0.5000, 0.5000)  0.56
Bi (0.0000, 0.0000, 0.0000)  0.05

**Spin magnetization**: 1.3 μB per cell
**Symmetry**: Pm-3m
**E above lowest polymorph**: 0.4900 eV/atom